Record 1
The following is a DFT calculation (GGA-PBE) of an optimized crystal structure of La2PaGe3Rh4.

ΔH_f (0 K) (eV/atom): -0.8833
Symmetry: No. 115

Geometry as extended XYZ:
```
10
Lattice="4.3098 0.0000 0.0000 0.0000 4.3098 0.0000 0.0000 0.0000 10.9223" Properties=species:S:1:pos:R:3 pbc="T T T"
La 2.1549 0.0000 2.4997
La 0.0000 2.1549 8.4226
Pa 2.1549 2.1549 5.4611
Ge 0.0000 0.0000 5.4611
Ge 2.1549 0.0000 9.5928
Ge 0.0000 2.1549 1.3294
Rh 2.1549 2.1549 0.0000
Rh 0.0000 0.0000 0.0000
Rh 2.1549 0.0000 7.0779
Rh 0.0000 2.1549 3.8444
```

---

Record 2
The following is a DFT calculation (GGA-PBE) of an optimized crystal structure of FeBiS.

E_form (uncorrected) (eV per formula unit): -0.1
Symmetry: No. 62

Geometry as extended XYZ:
```
12
Lattice="3.3164 0.0000 0.0000 0.0000 5.4327 0.0000 0.0000 0.0000 13.1011" Properties=species:S:1:pos:R:3 pbc="T T T"
S 2.4873 0.5224 12.1135
S 0.8291 2.1939 5.5629
S 2.4873 3.2388 7.5382
S 0.8291 4.9103 0.9876
Fe 0.8291 4.2433 6.4946
Fe 2.4873 1.1894 6.6065
Fe 0.8291 1.5270 0.0560
Fe 2.4873 3.9057 13.0451
Bi 0.8291 3.0922 10.9850
Bi 2.4873 5.0568 4.4345
Bi 0.8291 0.3759 8.6666
Bi 2.4873 2.3405 2.1160
```

---

Record 3
The following is a DFT calculation (GGA-PBE) of an optimized crystal structure of MoPt2N.

E_form (uncorrected) (eV per formula unit): 2.6
Symmetry: No. 122

Geometry as extended XYZ:
```
8
Lattice="-3.0871 -1.3480 5.9167 -0.0198 -6.6360 -1.5222 0.5962 -4.2426 3.2618" Properties=species:S:1:pos:R:3 pbc="T T T"
Mo 0.0000 0.0000 0.0000
Mo -2.0221 -4.7913 5.6878
Pt -1.5703 -2.6398 3.9157
Pt -0.4618 -5.4695 1.0111
Pt -0.7193 -6.6329 3.9894
Pt -2.2700 -9.7110 6.3963
N -1.5534 -3.9920 2.1972
N -0.4885 -7.4353 1.9684
```

---

Record 4
The following is a DFT calculation (GGA-PBE) of an optimized crystal structure of Pr6NiPt2Br3.

E_form (uncorrected) (eV per formula unit): -13.0
Symmetry: No. 12

Geometry as extended XYZ:
```
12
Lattice="-2.4790 -1.0368 3.2827 5.3539 -7.2474 1.7541 4.4853 8.4251 3.3069" Properties=species:S:1:pos:R:3 pbc="T T T"
Pr 7.0715 -0.9593 5.0372
Pr 2.8909 -1.7208 4.3808
Pr 0.2886 1.1002 3.3065
Pr 1.2138 -1.3989 0.4748
Pr 6.1463 1.5398 7.8689
Pr 4.4692 1.8617 3.9630
Ni -1.2395 -0.5184 1.6414
Pt 4.5152 -0.0834 6.1245
Pt 2.8450 0.2243 2.2193
Br 1.4374 -4.1421 2.5184
Br 1.8211 3.5552 5.2392
Br 5.5391 -3.4143 3.1046
```

---

Record 5
The following is a DFT calculation (GGA-PBE) of an optimized crystal structure of AcBeS.

E_form (uncorrected) (eV per formula unit): -2.3
Symmetry: No. 139

Geometry as extended XYZ:
```
6
Lattice="4.2681 0.0000 0.0000 0.0000 4.2681 0.0000 -2.1340 -2.1340 7.8773" Properties=species:S:1:pos:R:3 pbc="T T T"
Be 0.0000 0.0000 0.9124
Be 2.1340 2.1340 6.9650
Ac 2.1340 2.1340 1.9966
Ac 0.0000 0.0000 5.8807
S 2.1340 2.1340 5.0129
S 0.0000 0.0000 2.8644
```

---

Record 6
The following is a DFT calculation (GGA-PBE) of an optimized crystal structure of NiB2Rh2.

ΔH_f (0 K) (eV/atom): -0.1606
Relative energy among the computed polymorphs (meV/atom): 134
Symmetry: No. 127

Geometry as extended XYZ:
```
10
Lattice="-4.0850 4.4803 0.4612 -2.8484 -3.0522 4.4208 1.5813 1.2482 1.8807" Properties=species:S:1:pos:R:3 pbc="T T T"
Ni 0.0000 0.0000 0.0000
Ni -3.4667 0.7140 2.4410
B -3.9015 -1.0159 3.9547
B -5.3328 1.8793 3.2366
B -3.0319 2.4439 0.9273
B -1.6007 -0.4512 1.6453
Rh -1.7226 -0.6777 3.9175
Rh -4.2945 0.9951 4.9698
Rh -3.6296 3.3540 2.8452
Rh -1.0576 1.6812 1.7929
```

---

The records above yield calculated volume values of 20.29; 19.67; 13.98; 30.09; 23.92; 10.19 Å³ per atom, respectively.